# 1
First-principles (GGA-PBE) data for crystalline TiMn3H at its relaxed geometry, as listed in Alexandria via LeMat-Bulk.

Computed properties:
ΔE to the lowest computed polymorph ... 0.000 eV/atom
Symmetry ... Pm-3m (221)

abc: 3.7617 3.7617 3.7617
angles: 90.00 90.00 90.00
Last column: nearest neighbours and their distance in Å.
Atoms (fractional coordinates):
H (0.0000, 0.0000, 0.0000)  6 Mn 1.88
Mn (0.0000, 0.5000, 0.0000)  2 H 1.88
Mn (0.0000, 0.0000, 0.5000)  2 H 1.88
Mn (0.5000, 0.0000, 0.0000)  2 H 1.88
Ti (0.5000, 0.5000, 0.5000)  12 Mn 2.66

# 2
First-principles (GGA-PBE) data for crystalline TiMnH3 at its relaxed geometry, as listed in Alexandria via LeMat-Bulk.

Computed properties:
Raw total energy ... -5.5827 eV per atom
Symmetry ... Pm-3m (221)

abc: 3.2789 3.2789 3.2789
angles: 90.00 90.00 90.00
Last column: nearest neighbours and their distance in Å.
Atoms (fractional coordinates):
H (0.0000, 0.5000, 0.0000)  2 Mn 1.64
H (0.0000, 0.0000, 0.5000)  2 Mn 1.64
H (0.5000, 0.0000, 0.0000)  2 Mn 1.64
Mn (0.0000, 0.0000, 0.0000)  6 H 1.64
Ti (0.5000, 0.5000, 0.5000)  12 H 2.32

# 3
First-principles (GGA-PBE) data for crystalline Ti2MnH at its relaxed geometry, as listed in Alexandria via LeMat-Bulk.

Computed properties:
ΔE to the lowest computed polymorph ... 0.000 eV/atom
Symmetry ... R-3m (166)

abc: 2.9513 2.9513 6.3452
angles: 76.55 76.55 60.00
Last column: nearest neighbours and their distance in Å.
Atoms (fractional coordinates):
H (0.5000, 0.5000, 0.5000)  6 Ti 2.13
Mn (0.0000, 0.0000, 0.0000)  6 Ti 2.47
Ti (0.2361, 0.2361, 0.2917)  3 H 2.13
Ti (0.7639, 0.7639, 0.7083)  3 H 2.13

# 4
First-principles (GGA-PBE) data for crystalline Ti5Mn3H12 at its relaxed geometry, as listed in Alexandria via LeMat-Bulk.

Computed properties:
Raw total energy ... -5.4910 eV per atom
Symmetry ... Ia-3d (230)

abc: 9.4178 9.4178 9.4178
angles: 109.47 109.47 109.47
Last column: nearest neighbours and their distance in Å.
Atoms (fractional coordinates):
Mn (0.7500, 0.3750, 0.1250)  4 H 1.83
Mn (0.8750, 0.7500, 0.1250)  4 H 1.83
Mn (0.3750, 0.7500, 0.6250)  4 H 1.83
Mn (0.2500, 0.1250, 0.3750)  4 H 1.83
Mn (0.8750, 0.1250, 0.2500)  4 H 1.83
Mn (0.3750, 0.6250, 0.2500)  4 H 1.83
Mn (0.6250, 0.3750, 0.7500)  4 H 1.83
Mn (0.1250, 0.8750, 0.7500)  4 H 1.83
Mn (0.7500, 0.8750, 0.6250)  4 H 1.83
Mn (0.6250, 0.2500, 0.3750)  4 H 1.83
Mn (0.1250, 0.2500, 0.8750)  4 H 1.83
Mn (0.2500, 0.6250, 0.8750)  4 H 1.83
Ti (0.1250, 0.3750, 0.2500)  4 H 1.82
Ti (0.0000, 0.5000, 0.0000)  6 H 1.85
Ti (0.0000, 0.0000, 0.0000)  6 H 1.85
Ti (0.3750, 0.2500, 0.1250)  4 H 1.82
Ti (0.5000, 0.0000, 0.5000)  6 H 1.85
Ti (0.5000, 0.5000, 0.0000)  6 H 1.85
Ti (0.1250, 0.7500, 0.3750)  4 H 1.82
Ti (0.7500, 0.1250, 0.8750)  4 H 1.82
Ti (0.7500, 0.6250, 0.3750)  4 H 1.82
Ti (0.3750, 0.1250, 0.7500)  4 H 1.82
Ti (0.6250, 0.8750, 0.2500)  4 H 1.82
Ti (0.5000, 0.5000, 0.5000)  6 H 1.85
Ti (0.5000, 0.0000, 0.0000)  6 H 1.85
Ti (0.0000, 0.0000, 0.5000)  6 H 1.85
Ti (0.2500, 0.3750, 0.6250)  4 H 1.82
Ti (0.2500, 0.8750, 0.1250)  4 H 1.82
Ti (0.0000, 0.5000, 0.5000)  6 H 1.85
Ti (0.8750, 0.2500, 0.6250)  4 H 1.82
Ti (0.6250, 0.7500, 0.8750)  4 H 1.82
Ti (0.8750, 0.6250, 0.7500)  4 H 1.82
H (0.7209, 0.1568, 0.0627)  2 Ti 1.82-1.85, 1 Mn 1.83, 1 H 1.96
H (0.3418, 0.5627, 0.4059)  2 Ti 1.82-1.85, 1 Mn 1.83, 1 H 1.96
H (0.9373, 0.3432, 0.2791)  2 Ti 1.82-1.85, 1 Mn 1.83, 1 H 1.96
H (0.5627, 0.2209, 0.1568)  2 Ti 1.82-1.85, 1 Mn 1.83, 1 H 1.96
H (0.5641, 0.7209, 0.6582)  2 Ti 1.82-1.85, 1 Mn 1.83, 1 H 1.96
H (0.9373, 0.5941, 0.1582)  2 Ti 1.82-1.85, 1 Mn 1.83, 1 H 1.96
H (0.3418, 0.7791, 0.4359)  2 Ti 1.82-1.85, 1 Mn 1.83, 1 H 1.96
H (0.0941, 0.9359, 0.1568)  2 Ti 1.82-1.85, 1 Mn 1.83, 1 H 1.96
H (0.5941, 0.9373, 0.6582)  2 Ti 1.82-1.85, 1 Mn 1.83, 1 H 1.96
H (0.7209, 0.5641, 0.1582)  2 Ti 1.82-1.85, 1 Mn 1.83, 1 H 1.96
H (0.7791, 0.4373, 0.3432)  2 Ti 1.82-1.85, 1 Mn 1.83, 1 H 1.96
H (0.8418, 0.9059, 0.0627)  2 Ti 1.82-1.85, 1 Mn 1.83, 1 H 1.96
H (0.1568, 0.7209, 0.5627)  2 Ti 1.82-1.85, 1 Mn 1.83, 1 H 1.96
H (0.3432, 0.4059, 0.0641)  2 Ti 1.82-1.85, 1 Mn 1.83, 1 H 1.96
H (0.0641, 0.9059, 0.3432)  2 Ti 1.82-1.85, 1 Mn 1.83, 1 H 1.96
H (0.4359, 0.1568, 0.5941)  2 Ti 1.82-1.85, 1 Mn 1.83, 1 H 1.96
H (0.0641, 0.1582, 0.2209)  2 Ti 1.82-1.85, 1 Mn 1.83, 1 H 1.96
H (0.4373, 0.6582, 0.0941)  2 Ti 1.82-1.85, 1 Mn 1.83, 1 H 1.96
H (0.8418, 0.9359, 0.2791)  2 Ti 1.82-1.85, 1 Mn 1.83, 1 H 1.96
H (0.1568, 0.4359, 0.0941)  2 Ti 1.82-1.85, 1 Mn 1.83, 1 H 1.96
H (0.3432, 0.9373, 0.7791)  2 Ti 1.82-1.85, 1 Mn 1.83, 1 H 1.96
H (0.5941, 0.6568, 0.4359)  2 Ti 1.82-1.85, 1 Mn 1.83, 1 H 1.96
H (0.9059, 0.8418, 0.5627)  2 Ti 1.82-1.85, 1 Mn 1.83, 1 H 1.96
H (0.7791, 0.3418, 0.9359)  2 Ti 1.82-1.85, 1 Mn 1.83, 1 H 1.96
H (0.4059, 0.3432, 0.5641)  2 Ti 1.82-1.85, 1 Mn 1.83, 1 H 1.96
H (0.0941, 0.1582, 0.4373)  2 Ti 1.82-1.85, 1 Mn 1.83, 1 H 1.96
H (0.2209, 0.6582, 0.0641)  2 Ti 1.82-1.85, 1 Mn 1.83, 1 H 1.96
H (0.1582, 0.0641, 0.7209)  2 Ti 1.82-1.85, 1 Mn 1.83, 1 H 1.96
H (0.6568, 0.0627, 0.2209)  2 Ti 1.82-1.85, 1 Mn 1.83, 1 H 1.96
H (0.8432, 0.5641, 0.9059)  2 Ti 1.82-1.85, 1 Mn 1.83, 1 H 1.96
H (0.5627, 0.3418, 0.9059)  2 Ti 1.82-1.85, 1 Mn 1.83, 1 H 1.96
H (0.5641, 0.8432, 0.4059)  2 Ti 1.82-1.85, 1 Mn 1.83, 1 H 1.96
H (0.9359, 0.8418, 0.7791)  2 Ti 1.82-1.85, 1 Mn 1.83, 1 H 1.96
H (0.9359, 0.0941, 0.6568)  2 Ti 1.82-1.85, 1 Mn 1.83, 1 H 1.96
H (0.8432, 0.2791, 0.4373)  2 Ti 1.82-1.85, 1 Mn 1.83, 1 H 1.96
H (0.1582, 0.0941, 0.9373)  2 Ti 1.82-1.85, 1 Mn 1.83, 1 H 1.96
H (0.6568, 0.5941, 0.9359)  2 Ti 1.82-1.85, 1 Mn 1.83, 1 H 1.96
H (0.4059, 0.0627, 0.3418)  2 Ti 1.82-1.85, 1 Mn 1.83, 1 H 1.96
H (0.2791, 0.4359, 0.8418)  2 Ti 1.82-1.85, 1 Mn 1.83, 1 H 1.96
H (0.2209, 0.5627, 0.6568)  2 Ti 1.82-1.85, 1 Mn 1.83, 1 H 1.96
H (0.9059, 0.0641, 0.8432)  2 Ti 1.82-1.85, 1 Mn 1.83, 1 H 1.96
H (0.6582, 0.2209, 0.5641)  2 Ti 1.82-1.85, 1 Mn 1.83, 1 H 1.96
H (0.4373, 0.7791, 0.8432)  2 Ti 1.82-1.85, 1 Mn 1.83, 1 H 1.96
H (0.0627, 0.4059, 0.8418)  2 Ti 1.82-1.85, 1 Mn 1.83, 1 H 1.96
H (0.4359, 0.2791, 0.3418)  2 Ti 1.82-1.85, 1 Mn 1.83, 1 H 1.96
H (0.0627, 0.6568, 0.7209)  2 Ti 1.82-1.85, 1 Mn 1.83, 1 H 1.96
H (0.6582, 0.4373, 0.5941)  2 Ti 1.82-1.85, 1 Mn 1.83, 1 H 1.96
H (0.2791, 0.8432, 0.9373)  2 Ti 1.82-1.85, 1 Mn 1.83, 1 H 1.96

Number 1: V 10.6 A^3/atom. Number 2: V 7.1 A^3/atom. Number 3: V 11.5 A^3/atom. Number 4: V 8.0 A^3/atom.